No. 1
4
Lattice="-0.653 2.195 1.891 -2.729 0.184 -1.157 -3.341 -6.847 6.796" Properties=species:S:1:pos:R:3 comment="CoAuCl2 PBE relaxed" e_above_lowest_polymorph_mev_per_atom=247 rho_g_cm3=6.03 magmom_total_mub_per_atom=0.741 e_form_raw_ev_per_atom=0.155 sg=P4/mmm dft_energy_ev_per_atom=-3.364 pbc="T T T"
Cl -0.345 -0.708 0.703
Cl -1.325 -2.716 2.695
Au -4.197 -3.946 5.464
Co -2.527 -0.522 2.066

***

No. 2
6
Lattice="0.047 -4.922 -0.170 -3.842 -2.560 1.715 -2.964 -2.384 -3.128" Properties=species:S:1:pos:R:3 comment="Co4AuCl PBE relaxed" rho_g_cm3=9.20 magmom_total_mub_per_atom=1.289 e_form_raw_ev_per_atom=0.616 sg=F-43m dft_energy_ev_per_atom=-4.975 pbc="T T T"
Co -2.534 -3.700 -0.594
Co -2.511 -6.161 -0.679
Co -4.016 -4.892 -2.158
Co -4.455 -4.980 0.264
Cl 0.000 0.000 0.000
Au -5.069 -7.400 -1.188

***

No. 3
4
Lattice="-0.863 -5.055 -0.229 3.218 -0.575 0.564 -0.690 -0.077 4.284" Properties=species:S:1:pos:R:3 comment="CoAu2Cl PBE relaxed" e_above_lowest_polymorph_mev_per_atom=298 rho_g_cm3=10.97 magmom_total_mub_per_atom=0.562 e_form_raw_ev_per_atom=0.407 sg=P2/m dft_energy_ev_per_atom=-3.469 pbc="T T T"
Co 1.464 -3.016 3.521
Au 2.510 -0.647 4.817
Au 1.281 -0.330 2.454
Cl 0.200 -2.691 1.097

***

No. 4
4
Lattice="5.325 0.000 0.004 -0.551 5.297 0.004 1.355 1.503 2.895" Properties=species:S:1:pos:R:3 comment="CoAuCl2 PBE relaxed" e_above_lowest_polymorph_mev_per_atom=413 rho_g_cm3=6.65 magmom_total_mub_per_atom=0.514 e_form_raw_ev_per_atom=0.321 sg=C2/m dft_energy_ev_per_atom=-3.198 pbc="T T T"
Cl 0.000 0.000 0.000
Cl 2.387 2.648 0.004
Co 3.340 0.752 1.449
Au 0.402 3.400 1.449